(1)
## LiDyTlSn (PBE)

Data for an optimized crystal structure of LiDyTlSn.

Lattice parameters (Å, degrees): 4.3908 4.5652 4.7839 90.00 90.00 90.00
Atoms (fractional coordinates):
Li  0.0000  0.0000  0.0000
Dy  0.0000  0.5000  0.5000
Tl  0.5000  0.5000  0.0000
Sn  0.5000  0.0000  0.5000

ρ ... 8.5 g cm⁻³
Space-group type ... Pmmm
E_form ... -168 kJ/mol of formula units
Volume ... 23.97 Å³ per atom



(2)
## Li2DyTm2Sn2 (PBE)

Data for an optimized crystal structure of Li2DyTm2Sn2.

Lattice parameters (Å, degrees): 9.1054 9.1054 9.1054 30.35 30.35 30.35
Atoms (fractional coordinates):
Li  0.0950  0.0950  0.0950
Li  0.9050  0.9050  0.9050
Dy  0.5000  0.5000  0.5000
Tm  0.3705  0.3705  0.3705
Tm  0.6295  0.6295  0.6295
Sn  0.2377  0.2377  0.2377
Sn  0.7623  0.7623  0.7623

ρ ... 7.3 g cm⁻³
Space-group type ... R-3m
E_form ... -289 kJ/mol of formula units
Volume ... 24.40 Å³ per atom



(3)
## Li2Dy2TmSn2 (PBE)

Data for an optimized crystal structure of Li2Dy2TmSn2.

Lattice parameters (Å, degrees): 9.1960 9.1960 9.1960 29.99 29.99 29.99
Atoms (fractional coordinates):
Li  0.1016  0.1016  0.1016
Li  0.8984  0.8984  0.8984
Dy  0.3718  0.3718  0.3718
Dy  0.6282  0.6282  0.6282
Tm  0.5000  0.5000  0.5000
Sn  0.2352  0.2352  0.2352
Sn  0.7648  0.7648  0.7648

ρ ... 7.2 g cm⁻³
Space-group type ... R-3m
E_form ... -289 kJ/mol of formula units
Volume ... 24.58 Å³ per atom



(4)
## Li2Dy2YSn2 (PBE)

Data for an optimized crystal structure of Li2Dy2YSn2.

Lattice parameters (Å, degrees): 9.2690 9.2690 9.2690 29.83 29.83 29.83
Atoms (fractional coordinates):
Li  0.0978  0.0978  0.0978
Li  0.9022  0.9022  0.9022
Dy  0.3710  0.3710  0.3710
Dy  0.6290  0.6290  0.6290
Y  0.5000  0.5000  0.5000
Sn  0.2368  0.2368  0.2368
Sn  0.7632  0.7632  0.7632

ρ ... 6.3 g cm⁻³
Space-group type ... R-3m
E_form ... -307 kJ/mol of formula units
Volume ... 24.93 Å³ per atom



Question: ρ of number 2 (Li2DyTm2Sn2)?
Answer: 7.3 g cm⁻³